1.
VASP calculation (PBE) on La2Cd after structural relaxation.

a b c (Å): 3.735 6.642 8.507
angles (deg): 72.31 90.00 73.67
Fractional coordinates of all 6 atoms:
La  0.301  0.397  0.063
La  0.928  0.143  0.427
La  0.631  0.738  0.740
La  0.640  0.720  0.300
Cd  0.999  0.003  0.961
Cd  0.334  0.332  0.676

Computed properties:
Calculated density (g/cm³): 6.75
Space group: Cm, No. 8
DOS at the Fermi energy (states/eV/cell): 7.8
M_tot (μB per atom): 0.000



2.
VASP calculation (PBE) on La4Cd after structural relaxation.

a b c (Å): 5.994 5.994 5.994
angles (deg): 90.00 90.00 90.00
Fractional coordinates of all 5 atoms:
Cd  0.500  0.500  0.500
La  0.000  0.500  0.500
La  0.500  0.000  0.500
La  0.500  0.500  0.000
La  0.000  0.000  0.000

Computed properties:
Calculated density (g/cm³): 5.15
Space group: Pm-3m, No. 221
DOS at the Fermi energy (states/eV/cell): 7.7
M_tot (μB per atom): 0.000



3.
VASP calculation (PBE) on LaCd after structural relaxation.

a b c (Å): 6.417 6.417 6.417
angles (deg): 46.27 46.27 46.27
Fractional coordinates of all 4 atoms:
La  0.099  0.099  0.099
La  0.901  0.901  0.901
Cd  0.680  0.680  0.680
Cd  0.320  0.320  0.320

Computed properties:
Calculated density (g/cm³): 6.63
Space group: R-3m, No. 166
DOS at the Fermi energy (states/eV/cell): 4.9
M_tot (μB per atom): 0.000



4.
VASP calculation (PBE) on LaCd after structural relaxation.

a b c (Å): 3.717 3.717 10.681
angles (deg): 79.98 100.02 120.00
Fractional coordinates of all 4 atoms:
Cd  0.993  0.007  0.978
Cd  0.257  0.743  0.772
La  0.506  0.494  0.519
La  0.744  0.256  0.231

Computed properties:
Calculated density (g/cm³): 6.67
Space group: R-3m, No. 166
DOS at the Fermi energy (states/eV/cell): 3.0
M_tot (μB per atom): 0.000



5.
VASP calculation (PBE) on La2Cd after structural relaxation.

a b c (Å): 5.398 5.398 5.398
angles (deg): 60.00 60.00 60.00
Fractional coordinates of all 3 atoms:
La  0.750  0.750  0.750
La  0.250  0.250  0.250
Cd  0.000  0.000  0.000

Computed properties:
Calculated density (g/cm³): 5.83
Space group: Fm-3m, No. 225
DOS at the Fermi energy (states/eV/cell): 6.3
M_tot (μB per atom): 0.001



6.
VASP calculation (PBE) on LaCd after structural relaxation.

a b c (Å): 9.203 9.203 4.938
angles (deg): 90.00 90.00 120.00
Fractional coordinates of all 12 atoms:
La  0.906  0.375  0.250
La  0.375  0.470  0.750
La  0.530  0.906  0.750
La  0.094  0.625  0.750
La  0.470  0.094  0.250
La  0.625  0.530  0.250
Cd  0.042  0.821  0.250
Cd  0.221  0.042  0.750
Cd  0.779  0.958  0.250
Cd  0.179  0.221  0.250
Cd  0.821  0.779  0.750
Cd  0.958  0.179  0.750

Computed properties:
Calculated density (g/cm³): 6.91
Space group: P6_3/m, No. 176
DOS at the Fermi energy (states/eV/cell): 13.3
M_tot (μB per atom): 0.001



7.
VASP calculation (PBE) on La4Cd5 after structural relaxation.

a b c (Å): 9.594 9.594 6.804
angles (deg): 90.00 90.00 60.00
Fractional coordinates of all 18 atoms:
Cd  0.000  0.690  0.750
Cd  0.667  0.667  0.000
Cd  0.667  0.667  0.500
Cd  0.333  0.333  0.000
Cd  0.690  0.000  0.250
Cd  0.690  0.310  0.750
Cd  0.310  0.000  0.750
Cd  0.310  0.690  0.250
Cd  0.000  0.310  0.250
Cd  0.333  0.333  0.500
La  0.364  0.636  0.750
La  0.000  0.364  0.750
La  0.000  0.000  0.000
La  0.364  0.000  0.250
La  0.000  0.000  0.500
La  0.636  0.364  0.250
La  0.000  0.636  0.250
La  0.636  0.000  0.750

Computed properties:
Calculated density (g/cm³): 6.84
Space group: P6_3/mcm, No. 193
DOS at the Fermi energy (states/eV/cell): 23.2
M_tot (μB per atom): 0.023



8.
VASP calculation (PBE) on LaCd2 after structural relaxation.

a b c (Å): 7.103 7.103 5.132
angles (deg): 90.00 90.00 141.00
Fractional coordinates of all 6 atoms:
La  0.687  0.313  0.000
La  0.868  0.132  0.500
Cd  0.178  0.822  0.500
Cd  0.537  0.463  0.500
Cd  0.378  0.622  0.000
Cd  0.018  0.982  0.000

Computed properties:
Calculated density (g/cm³): 7.41
Space group: Cmcm, No. 63
DOS at the Fermi energy (states/eV/cell): 5.2
M_tot (μB per atom): 0.000



no.,E_tot (eV per atom)
1,-3.72
2,-3.80
3,-3.10
4,-2.98
5,-3.55
6,-2.90
7,-2.95
8,-2.54